InNiMo2 PBE relaxed; density of states at the Fermi level = 0.84 states/eV/atom; symmetry = Cmmm (65); calculated total energy = -28.9 eV per formula unit; theoretical density = 9550 kg/m³
1.0
5.240 0.000 0.000
0.000 8.771 0.000
0.000 0.000 2.765
In Ni Mo
2 2 4
Direct
0.000 0.000 0.000 In
0.500 0.500 0.000 In
0.000 0.500 0.000 Ni
0.500 0.000 0.000 Ni
0.250 0.250 0.500 Mo
0.250 0.750 0.500 Mo
0.750 0.250 0.500 Mo
0.750 0.750 0.500 Mo